Model P:
Computed, not measured: a relaxed structure of TbAgPd at the PBE-GGA level of DFT.

a b c (Å): 5.2739 5.2739 5.2739
angles (deg): 139.13 139.13 59.17
Positions (direct):
Tb: 0.0000 0.0000 0.0000
Ag: 0.6775 0.6775 0.0000
Pd: 0.3439 0.3439 0.0000

## Properties
Magnetic moment = 0.000 μB/f.u.
Crystal system = tetragonal

***

Model Q:
Computed, not measured: a relaxed structure of TbAgPd at the PBE-GGA level of DFT.

a b c (Å): 4.6578 4.6578 4.6578
angles (deg): 60.00 60.00 60.00
Positions (direct):
Tb: 0.0000 0.0000 0.0000
Ag: 0.5000 0.5000 0.5000
Pd: 0.2500 0.2500 0.2500

## Properties
Magnetic moment = 0.000 μB/f.u.
Crystal system = cubic

***

Going by the energies, model P is most stable and the next is 10.1 kJ/mol of atoms up.

***

Model P:
Computed, not measured: a relaxed structure of Tb2Ag2Pd3 at the PBE-GGA level of DFT.

a b c (Å): 5.2251 5.2251 6.8339
angles (deg): 96.41 96.41 47.40
Positions (direct):
Tb: 0.0797 0.0797 0.2515
Tb: 0.9203 0.9203 0.7485
Ag: 0.3570 0.3570 0.0757
Ag: 0.6430 0.6430 0.9243
Pd: 0.2131 0.2131 0.6454
Pd: 0.5000 0.5000 0.5000
Pd: 0.7869 0.7869 0.3546

## Properties
Magnetic moment = 0.000 μB/f.u.
Crystal system = monoclinic

***

Model Q:
Computed, not measured: a relaxed structure of Tb2Ag2Pd3 at the PBE-GGA level of DFT.

a b c (Å): 4.3076 5.2950 7.1008
angles (deg): 74.34 89.86 66.04
Positions (direct):
Tb: 0.1259 0.2491 0.2842
Tb: 0.8741 0.7509 0.7158
Ag: 0.3768 0.7486 0.0681
Ag: 0.6232 0.2514 0.9319
Pd: 0.1671 0.1647 0.6992
Pd: 0.5000 0.5000 0.5000
Pd: 0.8329 0.8353 0.3008

## Properties
Magnetic moment = 0.000 μB/f.u.
Crystal system = triclinic

***

Going by the energies, model P is most stable and the next is 0.7 kJ/mol of atoms up.